# ZnBr2

A geometry-optimized ZnBr2 structure (PBE-GGA, Alexandria).

## Properties
For the energy relative to the elements, uncorrected, the calculation gives -787.2 meV per atom. Its space group is No. 12. For the total magnetization, the calculation gives 0.00 Bohr magnetons per cell. The value obtained for the total energy is -0.08552 Ha/atom.

a b c (Å): 7.6923 7.6923 10.0671
angles (deg): 49.75 49.75 27.69
Fractional coordinates of all 6 atoms:
Br  0.8676  0.8676  0.6989
Br  0.6696  0.6696  0.1689
Br  0.0768  0.0768  0.9122
Br  0.2748  0.2748  0.4422
Zn  0.7273  0.7273  0.6452
Zn  0.2172  0.2172  0.9659